(1)
The following is a DFT calculation (PBE) of crystalline RbTa2GeBr at its relaxed geometry.

Its spin magnetization is 4.45 μB/cell. Its final energy is -3.322 eV/atom. The calculated volume comes out at 31.174 A^3/atom.

The space group is P4/mmm (No. 123) and the conventional cell measures 5.263, 5.263 and 5.628 Å, with angles of 90.00, 90.00 and 90.00 degrees. The distinct sites, in fractional coordinates, are Rb at (0.000, 0.000, 0.000), Ta at (0.000, 0.500, 0.000), Ge at (0.500, 0.500, 0.500) and Br at (0.000, 0.000, 0.500).

=====

(2)
The following is a DFT calculation (PBE) of crystalline TbBiPt5 at its relaxed geometry.

Its spin magnetization is 0.00 μB/cell. The calculated volume comes out at 19.505 A^3/atom. The formation energy comes out at -0.52 eV/atom.

The space group is Pnma (No. 62) and the conventional cell measures 8.927, 5.526 and 11.070 Å, with angles of 90.00, 90.00 and 90.00 degrees. The distinct sites, in fractional coordinates, are Tb at (0.236, 0.250, 0.044), Bi at (0.132, 0.250, 0.353), Pt at (0.082, 0.503, 0.814), Pt at (0.094, 0.250, 0.593), Pt at (0.094, 0.750, 0.027) and Pt at (0.163, 0.750, 0.271).